Compound: Ta6V5Os
Source: Alexandria
Functional: PBE-GGA
Structure: optimized geometry

As for the energy of formation: -0.111 eV/atom. For the total DFT energy (no corrections), the calculation gives -258.5 eV/cell. Its volume is 15.92 Å³ per atom. As for the crystal system: orthorhombic. Its density of states at the Fermi level is 16.7 states/eV/f.u.

The structure belongs to space group Immm (No. 71); the cell edges are 4.489, 6.335 and 13.435 Å and the angles 90.00°, 90.00° and 90.00°. Symmetry generates all atoms from Ta at (0.000, 0.249, 0.000), Ta at (0.000, 0.251, 0.333), V at (0.000, 0.000, 0.165), V at (0.000, 0.500, 0.169), V at (0.000, 0.500, 0.500) and Os at (0.000, 0.000, 0.500).

Compound: BaFe2Tc
Source: Alexandria
Functional: PBE-GGA
Structure: optimized geometry

As for the energy of formation: 0.479 eV/atom. For the total DFT energy (no corrections), the calculation gives -81.9 eV/cell. Its volume is 22.02 Å³ per atom. The value obtained for the energy above the most stable polymorph in this dataset is 23 meV per atom. As for the crystal system: trigonal. Its density of states at the Fermi level is 4.1 states/eV/f.u.

The structure belongs to space group R3m (No. 160, hexagonal axes); the cell edges are 4.1341, 4.1341 and 17.8587 Å and the angles 90.00°, 90.00° and 120.00°. Symmetry generates all atoms from Ba at (0.0000, 0.0000, 0.0000), Fe at (0.0000, 0.0000, 0.4863), Fe at (0.0000, 0.0000, 0.8123) and Tc at (0.0000, 0.0000, 0.1881).

Compound: Cu2SnAu
Source: Alexandria
Functional: PBE-GGA
Structure: optimized geometry

As for the energy of formation: -0.007 eV/atom. For the total DFT energy (no corrections), the calculation gives -31.0 eV/cell. Its volume is 16.59 Å³ per atom. As for the crystal system: monoclinic. Its density of states at the Fermi level is 0.8 states/eV/f.u.

The structure belongs to space group Pm (No. 6); the cell edges are 5.832, 4.415 and 5.919 Å and the angles 90.00°, 119.47° and 90.00°. Symmetry generates all atoms from Cu at (0.000, 0.000, 0.000), Cu at (0.007, 0.000, 0.443), Cu at (0.143, 0.500, 0.287), Cu at (0.708, 0.500, 0.844), Sn at (0.160, 0.500, 0.813), Sn at (0.491, 0.000, 0.476), Au at (0.509, 0.000, 0.961) and Au at (0.693, 0.500, 0.328).

| no. | magnetic moment (μB per formula unit) |
| --- | --- |
| 1 | 0.00 |
| 2 | 3.35 |
| 3 | 0.00 |